(1)
Density functional theory data (GGA-PBE) for a relaxed ThAlCo crystal.

Results
Energy ... -5.764 eV/atom

a = 3.3092 Å, b = 14.6590 Å, c = 8.4464 Å
α = 90.00°, β = 90.00°, γ = 90.00°
Space group Amm2 (No. 38)
One atom of each set of equivalent atoms:
1 Th 0.0000 0.0000 0.0000 (multiplicity 2)
2 Th 0.5000 0.1666 0.5000 (multiplicity 4)
3 Al 0.5000 0.0000 0.7015 (multiplicity 2)
4 Al 0.5000 0.1492 0.1488 (multiplicity 4)
5 Co 0.0000 0.0000 0.4959 (multiplicity 2)
6 Co 0.0000 0.2482 0.7518 (multiplicity 4)

(2)
Density functional theory data (GGA-PBE) for a relaxed AlTlCo crystal.

Results
Energy above the most stable polymorph in this dataset ... 0.00 eV per formula unit

a = 6.0218 Å, b = 6.0218 Å, c = 6.0218 Å
α = 90.00°, β = 90.00°, γ = 90.00°
Space group F-43m (No. 216)
One atom of each set of equivalent atoms:
1 Al 0.0000 0.0000 0.0000 (multiplicity 4)
2 Tl 0.0000 0.0000 0.5000 (multiplicity 4)
3 Co 0.2500 0.2500 0.2500 (multiplicity 4)

(3)
Density functional theory data (GGA-PBE) for a relaxed AlTl2Co crystal.

Results
Energy ... -3.226 eV/atom

a = 6.8957 Å, b = 6.8957 Å, c = 6.8957 Å
α = 90.00°, β = 90.00°, γ = 90.00°
Space group F-43m (No. 216)
One atom of each set of equivalent atoms:
1 Al 0.0000 0.0000 0.0000 (multiplicity 4)
2 Tl 0.0000 0.0000 0.5000 (multiplicity 4)
3 Tl 0.2500 0.2500 0.2500 (multiplicity 4)
4 Co 0.2500 0.2500 0.7500 (multiplicity 4)

(4)
Density functional theory data (GGA-PBE) for a relaxed Al2TlCo crystal.

Results
Energy ... -3.796 eV/atom

a = 6.4556 Å, b = 6.4556 Å, c = 6.4556 Å
α = 90.00°, β = 90.00°, γ = 90.00°
Space group F-43m (No. 216)
One atom of each set of equivalent atoms:
1 Al 0.0000 0.0000 0.0000 (multiplicity 4)
2 Al 0.2500 0.2500 0.2500 (multiplicity 4)
3 Tl 0.0000 0.0000 0.5000 (multiplicity 4)
4 Co 0.2500 0.2500 0.7500 (multiplicity 4)

(5)
Density functional theory data (GGA-PBE) for a relaxed Tm6AlCo2 crystal.

Results
Energy ... -5.261 eV/atom

a = 9.1034 Å, b = 9.3328 Å, c = 9.7682 Å
α = 90.00°, β = 90.00°, γ = 90.00°
Space group Immm (No. 71)
One atom of each set of equivalent atoms:
1 Tm 0.0000 0.1987 0.2391 (multiplicity 8)
2 Tm 0.1886 0.5000 0.1749 (multiplicity 8)
3 Tm 0.2174 0.3174 0.5000 (multiplicity 8)
4 Al 0.0000 0.0000 0.0000 (multiplicity 2)
5 Al 0.0000 0.0000 0.5000 (multiplicity 2)
6 Co 0.0000 0.3306 0.0000 (multiplicity 4)
7 Co 0.0000 0.5000 0.3842 (multiplicity 4)

(6)
Density functional theory data (GGA-PBE) for a relaxed YTmAl4Co2 crystal.

Results
Energy ... -5.561 eV/atom

a = 7.0067 Å, b = 4.0338 Å, c = 9.9114 Å
α = 90.00°, β = 90.00°, γ = 90.00°
Space group Amm2 (No. 38)
One atom of each set of equivalent atoms:
1 Y 0.0000 0.0000 0.0000 (multiplicity 2)
2 Tm 0.5000 0.0000 0.8787 (multiplicity 2)
3 Al 0.1958 0.0000 0.2807 (multiplicity 4)
4 Al 0.3070 0.0000 0.5984 (multiplicity 4)
5 Co 0.0000 0.0000 0.7234 (multiplicity 2)
6 Co 0.5000 0.0000 0.1552 (multiplicity 2)

(7)
Density functional theory data (GGA-PBE) for a relaxed TmZrAlCo2 crystal.

Results
Energy ... -6.628 eV/atom

a = 4.0451 Å, b = 5.3260 Å, c = 7.8173 Å
α = 90.00°, β = 90.00°, γ = 90.00°
Space group Imm2 (No. 44)
One atom of each set of equivalent atoms:
1 Tm 0.0000 0.0000 0.0000 (multiplicity 2)
2 Zr 0.0000 0.0000 0.5895 (multiplicity 2)
3 Al 0.0000 0.5000 0.7985 (multiplicity 2)
4 Co 0.0000 0.2749 0.2934 (multiplicity 4)

(8)
Density functional theory data (GGA-PBE) for a relaxed U2AlCo3 crystal.

Results
Energy ... -8.266 eV/atom

a = 5.1228 Å, b = 5.1228 Å, c = 7.6072 Å
α = 90.00°, β = 90.00°, γ = 120.00°
Space group P6_3/mmc (No. 194)
One atom of each set of equivalent atoms:
1 U 0.3333 0.6667 0.0707 (multiplicity 4)
2 Al 0.0000 0.0000 0.0000 (multiplicity 2)
3 Co 0.1701 0.3403 0.7500 (multiplicity 6)

- Which formula does entry 4 have?
  Al2TlCo

- Which formula does entry 6 have?
  YTmAl4Co2